Entry 1:
First-principles (GGA-PBEsol) data for a relaxed K2PdBr3Cl crystal, as listed in the Alexandria database.

a b c (Å): 4.226 7.235 7.235
angles (deg): 87.04 90.00 90.00
Fractional positions:
K 0.500 0.988 0.510
K 0.500 0.510 0.988
Br 0.000 0.229 0.229
Br 0.000 0.755 0.242
Br 0.000 0.242 0.755
Pd 0.000 0.998 0.998
Cl 0.000 0.778 0.778

Properties
Formation energy (no corrections) = -1.1995 eV/atom
DFT total energy = -24.2 eV for the cell shown

---

Entry 2:
First-principles (GGA-PBEsol) data for a relaxed AlFeSe2 crystal, as listed in the Alexandria database.

a b c (Å): 2.940 4.513 6.238
angles (deg): 105.06 90.00 109.01
Fractional positions:
Se 0.936 0.872 0.904
Se 0.772 0.543 0.355
Al 0.525 0.051 0.576
Fe 0.267 0.534 0.665

Properties
Formation energy (no corrections) = -0.1664 eV/atom
DFT total energy = -21.4 eV for the cell shown
DOS(E_F) = 1.956 states/eV per cell

---

Entry 3:
First-principles (GGA-PBEsol) data for a relaxed TlSn2Bi crystal, as listed in the Alexandria database.

a b c (Å): 5.418 5.418 5.418
angles (deg): 60.00 60.00 60.00
Fractional positions:
Bi 0.500 0.500 0.500
Sn 0.750 0.750 0.750
Sn 0.250 0.250 0.250
Tl 0.000 0.000 0.000

Properties
DFT total energy = -15.2 eV for the cell shown
Formation energy = 56 meV per atom
DOS(E_F) = 2.781 states/eV per cell

---

Entry 4:
First-principles (GGA-PBEsol) data for a relaxed Al2AgAu crystal, as listed in the Alexandria database.

a b c (Å): 2.888 2.888 7.797
angles (deg): 90.00 90.00 90.00
Fractional positions:
Ag 0.500 0.500 0.240
Al 0.000 0.000 0.998
Al 0.500 0.500 0.744
Au 0.000 0.000 0.517

Properties
DFT total energy = -15.9 eV for the cell shown
Formation energy = -124 meV per atom
DOS(E_F) = 1.530 states/eV per cell

---

Entry 5:
First-principles (GGA-PBEsol) data for a relaxed Be2CdTe crystal, as listed in the Alexandria database.

a b c (Å): 3.559 3.874 5.539
angles (deg): 90.00 90.00 90.00
Fractional positions:
Cd 0.500 0.000 0.000
Te 0.500 0.500 0.500
Be 0.000 0.500 0.188
Be 0.000 0.500 0.812

Properties
Energy above the most stable polymorph in this dataset = 0.00 kJ per mole of atoms
Formation energy (no corrections) = 0.4171 eV/atom
DFT total energy = -11.1 eV for the cell shown
DOS(E_F) = 1.173 states/eV per cell

---

Entry 6:
First-principles (GGA-PBEsol) data for a relaxed Mn2NiP crystal, as listed in the Alexandria database.

a b c (Å): 2.737 3.889 4.565
angles (deg): 115.21 107.44 90.00
Fractional positions:
P 0.247 0.747 0.495
Ni 0.526 0.526 0.052
Mn 0.748 0.248 0.496
Mn 0.978 0.978 0.957

Properties
DFT total energy = -32.5 eV for the cell shown
Formation energy = -253 meV per atom
DOS(E_F) = 3.026 states/eV per cell

---

Entry 7:
First-principles (GGA-PBEsol) data for a relaxed CaPt3 crystal, as listed in the Alexandria database.

a b c (Å): 2.880 4.721 4.863
angles (deg): 90.00 90.00 90.00
Fractional positions:
Ca 0.000 0.000 0.974
Pt 0.000 0.500 0.374
Pt 0.500 0.000 0.466
Pt 0.500 0.500 0.853

Properties
DFT total energy = -24.7 eV for the cell shown
Formation energy = -423 meV per atom
DOS(E_F) = 2.714 states/eV per cell

---

Entry 8:
First-principles (GGA-PBEsol) data for a relaxed Y2Rh crystal, as listed in the Alexandria database.

a b c (Å): 9.208 9.208 9.208
angles (deg): 60.00 60.00 60.00
Fractional positions:
Y 0.625 0.125 0.625
Y 0.187 0.187 0.813
Y 0.813 0.187 0.187
Y 0.437 0.063 0.437
Y 0.187 0.813 0.813
Y 0.187 0.813 0.187
Y 0.625 0.625 0.625
Y 0.125 0.625 0.625
Y 0.063 0.063 0.437
Y 0.437 0.063 0.063
Y 0.063 0.437 0.063
Y 0.437 0.437 0.063
Y 0.063 0.437 0.437
Y 0.625 0.625 0.125
Y 0.813 0.187 0.813
Y 0.813 0.813 0.187
Rh 0.467 0.844 0.844
Rh 0.406 0.783 0.406
Rh 0.783 0.406 0.406
Rh 0.406 0.406 0.783
Rh 0.844 0.844 0.844
Rh 0.406 0.406 0.406
Rh 0.844 0.844 0.467
Rh 0.844 0.467 0.844

Properties
DFT total energy = -187.2 eV for the cell shown
Formation energy = -537 meV per atom
DOS(E_F) = 20.520 states/eV per cell

---

Entry 9:
First-principles (GGA-PBEsol) data for a relaxed VCrSbO6 crystal, as listed in the Alexandria database.

a b c (Å): 4.533 4.533 9.101
angles (deg): 90.00 90.00 90.00
Fractional positions:
O 0.196 0.804 0.162
O 0.696 0.696 0.662
O 0.312 0.312 0.334
O 0.800 0.200 0.503
O 0.304 0.304 0.662
O 0.688 0.688 0.334
O 0.300 0.300 0.003
O 0.200 0.800 0.503
O 0.188 0.812 0.834
O 0.804 0.196 0.162
O 0.812 0.188 0.834
O 0.700 0.700 0.003
Cr 0.500 0.500 0.167
Cr 0.000 0.000 0.667
Sb 0.000 0.000 0.334
Sb 0.500 0.500 0.834
V 0.500 0.500 0.501
V 0.000 0.000 0.001

Properties
Formation energy (no corrections) = -1.9078 eV/atom
DFT total energy = -146.2 eV for the cell shown
DOS(E_F) = 2.024 states/eV per cell

---

Entry 10:
First-principles (GGA-PBEsol) data for a relaxed Sm2C3 crystal, as listed in the Alexandria database.

a b c (Å): 7.240 7.240 7.240
angles (deg): 109.47 109.47 109.47
Fractional positions:
C 0.250 0.955 0.705
C 0.205 0.250 0.455
C 0.295 0.750 0.045
C 0.795 0.045 0.750
C 0.750 0.545 0.795
C 0.750 0.705 0.955
C 0.705 0.455 0.250
C 0.545 0.295 0.250
C 0.250 0.795 0.545
C 0.955 0.205 0.750
C 0.045 0.250 0.295
C 0.455 0.750 0.205
Sm 0.398 0.398 0.898
Sm 0.000 0.500 0.602
Sm 0.602 0.000 0.000
Sm 0.500 0.102 0.500
Sm 0.102 0.000 0.000
Sm 0.500 0.602 0.500
Sm 0.000 0.500 0.102
Sm 0.898 0.898 0.398

Properties
DFT total energy = -161.5 eV for the cell shown
Formation energy = -251 meV per atom
DOS(E_F) = 5.322 states/eV per cell

---

Entry 11:
First-principles (GGA-PBEsol) data for a relaxed ZrTlZn2 crystal, as listed in the Alexandria database.

a b c (Å): 4.085 4.202 4.202
angles (deg): 90.00 90.00 90.00
Fractional positions:
Zr 0.500 0.500 0.500
Tl 0.500 0.000 0.000
Zn 0.000 0.000 0.500
Zn 0.000 0.500 0.000

Properties
Energy above the most stable polymorph in this dataset = 0.00 kJ per mole of atoms
DFT total energy = -15.7 eV for the cell shown
Formation energy = -203 meV per atom
DOS(E_F) = 1.461 states/eV per cell

---

Entry 12:
First-principles (GGA-PBEsol) data for a relaxed K3NdV2O8 crystal, as listed in the Alexandria database.

a b c (Å): 5.909 7.506 9.864
angles (deg): 90.66 90.00 90.00
Fractional positions:
K 0.750 0.863 0.086
K 0.250 0.687 0.580
K 0.250 0.996 0.309
K 0.750 0.004 0.691
K 0.750 0.313 0.420
K 0.250 0.137 0.914
O 0.011 0.749 0.834
O 0.989 0.251 0.166
O 0.250 0.791 0.081
O 0.750 0.528 0.042
O 0.489 0.749 0.834
O 0.988 0.662 0.332
O 0.488 0.338 0.668
O 0.750 0.209 0.919
O 0.750 0.965 0.409
O 0.250 0.472 0.958
O 0.012 0.338 0.668
O 0.511 0.251 0.166
O 0.512 0.662 0.332
O 0.750 0.670 0.579
O 0.250 0.035 0.591
O 0.250 0.330 0.421
V 0.250 0.693 0.923
V 0.750 0.307 0.077
V 0.250 0.259 0.587
V 0.750 0.741 0.413
Nd 0.250 0.494 0.208
Nd 0.750 0.506 0.792

Properties
Formation energy (no corrections) = -2.5661 eV/atom
DFT total energy = -211.5 eV for the cell shown
DOS(E_F) = 0.000 states/eV per cell